# 1
## ScCd2Br (PBE)

Data for a relaxed ScCd2Br crystal.

a = 4.4957 Å, b = 4.4957 Å, c = 9.3533 Å
α = 90.00°, β = 90.00°, γ = 90.00°
Last column: nearest neighbours and their distance in Å.
Fractional positions:
Sc (0.0000, 0.0000, 0.0000)  8 Cd 3.18-3.24, 4 Br 3.24
Sc (0.5000, 0.5000, 0.5000)  8 Cd 3.18-3.24, 4 Br 3.24
Cd (0.0000, 0.0000, 0.5000)  4 Sc 3.18, 4 Cd 3.24, 4 Br 3.24
Cd (0.0000, 0.5000, 0.2500)  4 Br 3.18, 4 Cd 3.24, 4 Sc 3.24
Cd (0.5000, 0.0000, 0.7500)  4 Br 3.18, 4 Cd 3.24, 4 Sc 3.24
Cd (0.5000, 0.5000, 0.0000)  4 Sc 3.18, 4 Cd 3.24, 4 Br 3.24
Br (0.0000, 0.5000, 0.7500)  8 Cd 3.18-3.24, 4 Sc 3.24
Br (0.5000, 0.0000, 0.2500)  8 Cd 3.18-3.24, 4 Sc 3.24

Summary:
Space group   No. 119
Formation energy (no corrections)   -19.1 kJ/mol of atoms
Energy above the most stable polymorph in this dataset   248.7 meV/atom
D(E_F)   0.685 states/eV per atom

# 2
## BaBi2Rh (PBE)

Data for a relaxed BaBi2Rh crystal.

a = 5.6715 Å, b = 5.6715 Å, c = 18.0622 Å
α = 90.00°, β = 90.00°, γ = 90.00°
Last column: nearest neighbours and their distance in Å.
Fractional positions:
Ba (0.0000, 0.0000, 0.0000)  4 Bi 3.48
Ba (0.0000, 0.5000, 0.2500)  4 Bi 3.48
Ba (0.5000, 0.0000, 0.7500)  4 Bi 3.48
Ba (0.5000, 0.5000, 0.5000)  4 Bi 3.48
Bi (0.1066, 0.2500, 0.6250)  2 Rh 2.73
Bi (0.2500, 0.6066, 0.8750)  2 Rh 2.73
Bi (0.2500, 0.8934, 0.3750)  2 Rh 2.73
Bi (0.3934, 0.2500, 0.1250)  2 Rh 2.73
Bi (0.6066, 0.7500, 0.1250)  2 Rh 2.73
Bi (0.7500, 0.1066, 0.3750)  2 Rh 2.73
Bi (0.7500, 0.3934, 0.8750)  2 Rh 2.73
Bi (0.8934, 0.7500, 0.6250)  2 Rh 2.73
Rh (0.0000, 0.0000, 0.5000)  4 Bi 2.73
Rh (0.0000, 0.5000, 0.7500)  4 Bi 2.73
Rh (0.5000, 0.0000, 0.2500)  4 Bi 2.73
Rh (0.5000, 0.5000, 0.0000)  4 Bi 2.73

Summary:
ΔE_f   -0.1809 eV/atom
Space group   No. 122
D(E_F)   0.540 states/eV per atom

# 3
## PuTe5 (PBE)

Data for a relaxed PuTe5 crystal.

a = 4.4925 Å, b = 18.4536 Å, c = 4.4100 Å
α = 90.00°, β = 90.00°, γ = 90.00°
Last column: nearest neighbours and their distance in Å.
Fractional positions:
Pu (0.0000, 0.0000, 0.0000)  8 Te 3.15-3.50
Pu (0.5000, 0.5000, 0.0000)  8 Te 3.15-3.50
Te (0.0000, 0.1474, 0.5000)  4 Te 3.15, 2 Pu 3.50
Te (0.0000, 0.3510, 0.0000)  6 Te 3.15-3.52
Te (0.0000, 0.5000, 0.5000)  4 Pu 3.15, 4 Te 3.52
Te (0.0000, 0.6490, 0.0000)  6 Te 3.15-3.52
Te (0.0000, 0.8526, 0.5000)  4 Te 3.15, 2 Pu 3.50
Te (0.5000, 0.0000, 0.5000)  4 Pu 3.15, 4 Te 3.52
Te (0.5000, 0.1490, 0.0000)  6 Te 3.15-3.52
Te (0.5000, 0.3526, 0.5000)  4 Te 3.15, 2 Pu 3.50
Te (0.5000, 0.6474, 0.5000)  4 Te 3.15, 2 Pu 3.50
Te (0.5000, 0.8510, 0.0000)  6 Te 3.15-3.52

Summary:
Space group   No. 65
Formation energy (no corrections)   -30.5 kJ/mol of atoms
D(E_F)   1.311 states/eV per atom

# 4
## Pm3NdSm2N6 (PBE)

Data for a relaxed Pm3NdSm2N6 crystal.

a = 6.2568 Å, b = 6.2568 Å, c = 6.2557 Å
α = 99.59°, β = 99.59°, γ = 120.00°
Last column: nearest neighbours and their distance in Å.
Fractional positions:
Pm (0.0000, 0.0000, 0.0000)  6 N 2.54-2.56
Pm (0.3329, 0.6671, 0.0000)  6 N 2.54-2.57
Pm (0.6671, 0.3329, 0.0000)  6 N 2.54-2.57
Nd (0.5000, 0.5000, 0.5000)  6 N 2.57
Sm (0.1666, 0.8334, 0.5000)  6 N 2.55
Sm (0.8334, 0.1666, 0.5000)  6 N 2.55
N (0.0808, 0.4167, 0.2501)  3 Pm 2.54-2.56, 2 Sm 2.55, 1 Nd 2.57
N (0.2472, 0.2472, 0.7495)  3 Pm 2.54-2.57, 2 Sm 2.55, 1 Nd 2.57
N (0.4167, 0.0808, 0.2501)  3 Pm 2.54-2.56, 2 Sm 2.55, 1 Nd 2.57
N (0.5833, 0.9192, 0.7499)  3 Pm 2.54-2.56, 2 Sm 2.55, 1 Nd 2.57
N (0.7528, 0.7528, 0.2505)  3 Pm 2.54-2.57, 2 Sm 2.55, 1 Nd 2.57
N (0.9192, 0.5833, 0.7499)  3 Pm 2.54-2.56, 2 Sm 2.55, 1 Nd 2.57

Summary:
Space group   No. 12
Formation energy (no corrections)   -138.8 kJ/mol of atoms
D(E_F)   0.020 states/eV per atom